First-principles (PBE) data for a relaxed NbSbTe2P crystal, as listed in Alexandria.

Cell lengths 5.1896, 5.1896, 4.9768 Å; angles 90.00, 90.00, 90.00 degrees
With the nearest neighbours (Å) after each atom.
Atoms (fractional coordinates):
Sb 0.0000 0.0000 0.5000  2 P 2.49
Nb 0.5000 0.5000 0.5000  8 Te 3.60, 4 Sb 3.67
Te 0.0000 0.5000 0.0000  2 P 2.59
Te 0.5000 0.0000 0.0000  2 P 2.59
P 0.0000 0.0000 0.0000  2 Sb 2.49, 4 Te 2.59

Output
* crystal system: tetragonal
* raw formation energy: 4.2 eV per formula unit
* energy above the most stable polymorph in this dataset: 0.68 eV per formula unit
* uncorrected energy: -4.334 eV per atom